Density functional theory data (GGA-PBE) for a relaxed SrSm2NpO6 crystal.

Cell lengths 6.0499, 6.0499, 15.6366 Å; angles 90.00, 90.00, 120.00 degrees
Space group R3 (No. 146, hexagonal axes)
One atom of each set of equivalent atoms:
Sr1 0.0000 0.0000 0.0000
Sm1 0.0000 0.0000 0.2708
Sm2 0.0000 0.0000 0.7786
Np1 0.0000 0.0000 0.4850
O1 0.0260 0.7410 0.3874
O2 0.0298 0.3553 0.5459

magnetic moment: 9.0 Bohr magnetons per cell

Density functional theory data (GGA-PBE) for a relaxed Tb2SmNpO8 crystal.

Cell lengths 3.903, 7.491, 5.427 Å; angles 90.00, 93.81, 90.00 degrees
Space group P2/m (No. 10)
One atom of each set of equivalent atoms:
Tb1 0.000 0.242 0.000
Sm1 0.500 0.000 0.500
Np1 0.500 0.500 0.500
O1 0.005 0.000 0.756
O2 0.043 0.500 0.277
O3 0.474 0.280 0.738

magnetic moment: 0.0 Bohr magnetons per cell

Theoretical density per entry: 7.3, 8.7 g/cm3
E per entry: -8.525, -8.731 eV per atom